# Cs2Sn2Bi3, optimized geometry, DFT PBE-GGA
data_Cs2Sn2Bi3
_chemical_formula_sum 'Cs4 Sn4 Bi6'
_space_group_name_H-M_alt 'P 1 21/c 1'
_space_group_IT_number 14
_cell_length_a 7.2323
_cell_length_b 10.9728
_cell_length_c 7.5459
_cell_angle_alpha 90.00
_cell_angle_beta 90.18
_cell_angle_gamma 90.00
loop_
_space_group_symop_operation_xyz
'x,y,z'
'-x,-y,-z'
'-x,y+1/2,-z+1/2'
'x,-y+1/2,z+1/2'
loop_
_atom_site_label
_atom_site_type_symbol
_atom_site_fract_x
_atom_site_fract_y
_atom_site_fract_z
Cs1 Cs 0.1679 0.1615 0.0013
Sn1 Sn 0.3486 0.6053 0.1895
Bi1 Bi 0.0000 0.0000 0.5000
Bi2 Bi 0.3585 0.6171 0.7913
# * raw total energy: -3.259 eV per atom